{"formula": "Pr4Dy5Tl", "functional": "GGA-PBE", "state": "relaxed", "de_polymorph_ev_per_fu": 0.00, "space_group": "No. 123", "total_magnetization_mub_per_cell": 0.00, "e_form_ev_per_atom": -0.059, "n_ef_per_ev_cell": 13.35, "crystal_system": "tetragonal", "lattice": [[3.650, 0.000, 0.000], [0.000, 3.650, 0.000], [0.000, 0.000, 24.494]], "species": ["Pr", "Pr", "Pr", "Pr", "Dy", "Dy", "Dy", "Dy", "Dy", "Tl"], "fractional_positions": [[0.000, 0.000, 0.397], [0.000, 0.000, 0.603], [0.000, 0.000, 0.187], [0.000, 0.000, 0.813], [0.500, 0.500, 0.293], [0.500, 0.500, 0.500], [0.500, 0.500, 0.916], [0.500, 0.500, 0.707], [0.500, 0.500, 0.084], [0.000, 0.000, 0.000]]}